Record 1
HfAuN3 | PBE | optimized geometry

a b c (Å): 4.1897 4.1897 4.1897
angles (deg): 90.00 90.00 90.00
Sites, in units of the cell vectors:
Hf 0.0000 0.0000 0.0000
Au 0.5000 0.5000 0.5000
N 0.0000 0.0000 0.5000
N 0.0000 0.5000 0.0000
N 0.5000 0.0000 0.0000

Output
Final energy   -0.4873 Ry/atom
Formation energy without anion corrections   1.011 eV per atom

Record 2
TbPm5Te4 | PBE | optimized geometry

a b c (Å): 8.4138 11.5101 7.3736
angles (deg): 90.00 90.00 90.00
Sites, in units of the cell vectors:
Tb 0.2500 0.2500 0.0849
Tb 0.7500 0.7500 0.9151
Pm 0.0017 0.0777 0.7169
Pm 0.0017 0.4223 0.7169
Pm 0.2500 0.7500 0.9142
Pm 0.4983 0.0777 0.7169
Pm 0.4983 0.4223 0.7169
Pm 0.5017 0.5777 0.2831
Pm 0.5017 0.9223 0.2831
Pm 0.7500 0.2500 0.0858
Pm 0.9983 0.5777 0.2831
Pm 0.9983 0.9223 0.2831
Te 0.0042 0.2500 0.3893
Te 0.2500 0.0019 0.0034
Te 0.2500 0.4981 0.0034
Te 0.4958 0.2500 0.3893
Te 0.5042 0.7500 0.6107
Te 0.7500 0.5019 0.9966
Te 0.7500 0.9981 0.9966
Te 0.9958 0.7500 0.6107

Output
Final energy   -0.3634 Ry/atom
Formation energy without anion corrections   -0.849 eV per atom

Record 3
ReTcB | PBE | optimized geometry

a b c (Å): 5.1736 2.8292 9.8079
angles (deg): 90.00 90.00 90.00
Sites, in units of the cell vectors:
Re 0.0688 0.2500 0.2179
Re 0.4312 0.7500 0.7179
Re 0.5688 0.2500 0.2821
Re 0.9312 0.7500 0.7821
Tc 0.2403 0.2500 0.9602
Tc 0.2597 0.7500 0.4602
Tc 0.7403 0.2500 0.5398
Tc 0.7597 0.7500 0.0398
B 0.1396 0.2500 0.6344
B 0.3604 0.7500 0.1344
B 0.6396 0.2500 0.8656
B 0.8604 0.7500 0.3656

Output
ΔE_f   -0.6 eV per formula unit
E above lowest polymorph   11 kJ/mol of formula units
Final energy   -0.7373 Ry/atom

Record 4
ScTc2Se | PBE | optimized geometry

a b c (Å): 5.9371 5.9371 5.9371
angles (deg): 100.82 100.82 128.66
Sites, in units of the cell vectors:
Sc 0.0000 0.0000 0.0000
Sc 0.7500 0.2500 0.5000
Tc 0.2055 0.6250 0.0805
Tc 0.3750 0.4555 0.5805
Tc 0.5445 0.1250 0.9195
Tc 0.8750 0.7945 0.4195
Se 0.2500 0.7500 0.5000
Se 0.5000 0.5000 0.0000

Output
Final energy   -0.5445 Ry/atom
Formation energy without anion corrections   0.229 eV per atom

Record 5
CrCuTc2 | PBE | optimized geometry

a b c (Å): 3.1186 3.1186 5.5429
angles (deg): 90.00 90.00 90.00
Sites, in units of the cell vectors:
Cr 0.0000 0.0000 0.0000
Cu 0.5000 0.5000 0.2184
Tc 0.0000 0.0000 0.4697
Tc 0.5000 0.5000 0.7349

Output
ΔE_f   1.0 eV per formula unit
E above lowest polymorph   19 kJ/mol of formula units
Final energy   -0.6150 Ry/atom

Record 6
TeRhSe2 | PBE | optimized geometry

a b c (Å): 5.1611 5.1611 3.5901
angles (deg): 90.00 90.00 117.37
Sites, in units of the cell vectors:
Te 0.0000 0.0000 0.0000
Rh 0.5000 0.5000 0.0000
Se 0.3004 0.6996 0.5000
Se 0.6996 0.3004 0.5000

Output
Final energy   -0.3345 Ry/atom
Formation energy without anion corrections   -0.186 eV per atom

Record 7
NaCaNi | PBE | optimized geometry

a b c (Å): 3.9770 3.9770 13.1723
angles (deg): 90.01 90.01 60.01
Sites, in units of the cell vectors:
Na 0.0000 0.0000 0.0000
Na 0.6670 0.6670 0.2283
Ca 0.3318 0.3318 0.4719
Ca 0.3319 0.3319 0.7560
Ni 0.6650 0.6650 0.6136
Ni 0.9984 0.9984 0.6142

Output
ΔE_f   -0.4 eV per formula unit
E above lowest polymorph   0 kJ/mol of formula units
Final energy   -0.2327 Ry/atom

Record 8
Er5Mg4Hg | PBE | optimized geometry

a b c (Å): 3.7645 3.7645 18.5700
angles (deg): 90.00 90.00 90.00
Sites, in units of the cell vectors:
Er 0.0000 0.0000 0.0000
Er 0.0000 0.0000 0.2022
Er 0.0000 0.0000 0.4037
Er 0.0000 0.0000 0.5963
Er 0.0000 0.0000 0.7978
Mg 0.5000 0.5000 0.1010
Mg 0.5000 0.5000 0.3008
Mg 0.5000 0.5000 0.6992
Mg 0.5000 0.5000 0.8990
Hg 0.5000 0.5000 0.5000

Output
ΔE_f   -1.5 eV per formula unit
Final energy   -0.2278 Ry/atom

Please write out number 6 again, unchanged.
TeRhSe2 | PBE | optimized geometry

a b c (Å): 5.1611 5.1611 3.5901
angles (deg): 90.00 90.00 117.37
Sites, in units of the cell vectors:
Te 0.0000 0.0000 0.0000
Rh 0.5000 0.5000 0.0000
Se 0.3004 0.6996 0.5000
Se 0.6996 0.3004 0.5000

Output
Final energy   -0.3345 Ry/atom
Formation energy without anion corrections   -0.186 eV per atom

Q: What is the final energy in the first record?
A: -0.4873 Ry/atom

Q: Which of these has the highest final energy?
A: Er5Mg4Hg